DFT (GGA-PBE) results for a relaxed structure of CrAs2H.

a = 5.258 Å, b = 5.258 Å, c = 5.258 Å
α = 112.01°, β = 112.01°, γ = 104.50°
Fractional positions:
Cr 0.000 0.000 0.000
Cr 0.750 0.250 0.500
As 0.198 0.625 0.073
As 0.375 0.448 0.573
As 0.552 0.125 0.927
As 0.875 0.802 0.427
H 0.250 0.750 0.500
H 0.500 0.500 0.000

Results
Volume   111.2 Å³ per cell
DFT total energy   -5.174 eV/atom
Polymorph energy (0 for the lowest one)   0 meV/atom
Space-group type   I-42d (122)

***

DFT (GGA-PBE) results for a relaxed structure of TiNbAl2H.

a = 4.100 Å, b = 4.100 Å, c = 4.035 Å
α = 90.00°, β = 90.00°, γ = 90.00°
Fractional positions:
Ti 0.000 0.000 0.000
Nb 0.500 0.500 0.000
Al 0.000 0.500 0.500
Al 0.500 0.000 0.500
H 0.500 0.500 0.500

Results
Volume   67.8 Å³ per cell
DFT total energy   -5.955 eV/atom
Polymorph energy (0 for the lowest one)   55 meV/atom
Space-group type   P4/mmm (123)

***

DFT (GGA-PBE) results for a relaxed structure of ErPa4Tc5.

a = 3.441 Å, b = 3.441 Å, c = 17.194 Å
α = 90.00°, β = 90.00°, γ = 90.00°
Fractional positions:
Er 0.000 0.000 0.000
Pa 0.000 0.000 0.198
Pa 0.000 0.000 0.401
Pa 0.000 0.000 0.599
Pa 0.000 0.000 0.802
Tc 0.500 0.500 0.114
Tc 0.500 0.500 0.298
Tc 0.500 0.500 0.500
Tc 0.500 0.500 0.702
Tc 0.500 0.500 0.886

Results
Volume   203.6 Å³ per cell
DFT total energy   -9.634 eV/atom
DFT formation energy   -0.196 eV/atom
Space-group type   P4/mmm (123)

***

DFT (GGA-PBE) results for a relaxed structure of Ca6Cd7.

a = 12.140 Å, b = 12.140 Å, c = 12.140 Å
α = 28.93°, β = 28.93°, γ = 28.93°
Fractional positions:
Ca 0.051 0.051 0.051
Ca 0.153 0.153 0.153
Ca 0.333 0.333 0.333
Ca 0.667 0.667 0.667
Ca 0.847 0.847 0.847
Ca 0.949 0.949 0.949
Cd 0.090 0.594 0.594
Cd 0.406 0.406 0.910
Cd 0.406 0.910 0.406
Cd 0.500 0.500 0.500
Cd 0.594 0.090 0.594
Cd 0.594 0.594 0.090
Cd 0.910 0.406 0.406

Results
Volume   370.3 Å³ per cell
DFT total energy   -1.658 eV/atom
DFT formation energy   -0.242 eV/atom
Space-group type   R-3m (166)

***

DFT (GGA-PBE) results for a relaxed structure of Cs2BePtO4.

a = 12.141 Å, b = 10.782 Å, c = 6.726 Å
α = 84.42°, β = 62.12°, γ = 33.46°
Fractional positions:
Cs 0.049 0.049 0.701
Cs 0.299 0.299 0.951
Cs 0.701 0.701 0.049
Cs 0.951 0.951 0.299
Be 0.125 0.125 0.125
Be 0.875 0.875 0.875
Pt 0.375 0.375 0.375
Pt 0.625 0.625 0.625
O 0.028 0.300 0.364
O 0.192 0.636 0.700
O 0.300 0.028 0.808
O 0.364 0.808 0.028
O 0.636 0.192 0.972
O 0.700 0.972 0.192
O 0.808 0.364 0.300
O 0.972 0.700 0.636

Results
Volume   342.9 Å³ per cell
DFT total energy   -5.236 eV/atom
Space-group type   Fddd (70)
ΔE_f (raw)   -1.32 eV/atom

***

DFT (GGA-PBE) results for a relaxed structure of HfV6H8.

a = 5.063 Å, b = 5.063 Å, c = 5.063 Å
α = 102.14°, β = 102.14°, γ = 102.14°
Fractional positions:
Hf 0.000 0.000 0.000
V 0.150 0.307 0.594
V 0.307 0.594 0.150
V 0.406 0.850 0.693
V 0.594 0.150 0.307
V 0.693 0.406 0.850
V 0.850 0.693 0.406
H 0.103 0.640 0.790
H 0.210 0.897 0.360
H 0.300 0.300 0.300
H 0.360 0.210 0.897
H 0.640 0.790 0.103
H 0.700 0.700 0.700
H 0.790 0.103 0.640
H 0.897 0.360 0.210

Results
Volume   119.6 Å³ per cell
DFT total energy   -6.240 eV/atom
Space-group type   R-3 (148)

***

DFT (GGA-PBE) results for a relaxed structure of ZrRe2Te.

a = 5.324 Å, b = 5.324 Å, c = 5.324 Å
α = 136.28°, β = 136.28°, γ = 63.55°
Fractional positions:
Zr 0.000 0.000 0.000
Re 0.250 0.750 0.500
Re 0.500 0.500 0.000
Te 0.750 0.250 0.500

Results
Volume   71.2 Å³ per cell
DFT total energy   -8.769 eV/atom
Space-group type   I-4m2 (119)
ΔE_f (raw)   0.38 eV/atom

***

DFT (GGA-PBE) results for a relaxed structure of CsBi4Au2.

a = 7.527 Å, b = 7.527 Å, c = 5.799 Å
α = 90.00°, β = 90.00°, γ = 135.34°
Fractional positions:
Cs 0.000 0.000 0.000
Bi 0.187 0.813 0.500
Bi 0.300 0.700 0.000
Bi 0.700 0.300 0.000
Bi 0.813 0.187 0.500
Au 0.403 0.597 0.500
Au 0.597 0.403 0.500

Results
Volume   231.0 Å³ per cell
DFT total energy   -3.369 eV/atom
DFT formation energy   -0.093 eV/atom
Polymorph energy (0 for the lowest one)   50 meV/atom
Space-group type   Cmmm (65)

***

DFT (GGA-PBE) results for a relaxed structure of Na3PtO4.

a = 5.731 Å, b = 6.553 Å, c = 5.545 Å
α = 90.00°, β = 109.65°, γ = 90.00°
Fractional positions:
Na 0.000 0.116 0.250
Na 0.000 0.884 0.750
Na 0.500 0.118 0.750
Na 0.500 0.380 0.250
Na 0.500 0.620 0.750
Na 0.500 0.882 0.250
Pt 0.000 0.379 0.750
Pt 0.000 0.621 0.250
O 0.198 0.396 0.501
O 0.198 0.604 0.001
O 0.224 0.167 0.965
O 0.224 0.833 0.465
O 0.776 0.167 0.535
O 0.776 0.833 0.035
O 0.802 0.396 0.999
O 0.802 0.604 0.499

Results
Volume   196.1 Å³ per cell
DFT total energy   -4.865 eV/atom
Space-group type   P2/c (13)
ΔE_f (raw)   -1.14 eV/atom

***

DFT (GGA-PBE) results for a relaxed structure of Sm6InRu.

a = 9.631 Å, b = 9.631 Å, c = 9.631 Å
α = 149.17°, β = 149.17°, γ = 44.16°
Fractional positions:
Sm 0.103 0.603 0.500
Sm 0.248 0.248 0.000
Sm 0.397 0.897 0.500
Sm 0.603 0.103 0.500
Sm 0.752 0.752 0.000
Sm 0.897 0.397 0.500
In 0.000 0.000 0.000
Ru 0.500 0.500 0.000

Results
Volume   234.0 Å³ per cell
DFT total energy   -5.136 eV/atom
DFT formation energy   -0.095 eV/atom
Polymorph energy (0 for the lowest one)   0 meV/atom
Space-group type   I4/mmm (139)

***

DFT (GGA-PBE) results for a relaxed structure of Sm2ErAg2.

a = 7.598 Å, b = 7.598 Å, c = 10.105 Å
α = 90.00°, β = 90.00°, γ = 151.53°
Fractional positions:
Sm 0.116 0.884 0.500
Sm 0.298 0.702 0.729
Sm 0.702 0.298 0.229
Sm 0.884 0.116 0.000
Er 0.428 0.572 0.343
Er 0.572 0.428 0.843
Ag 0.043 0.957 0.175
Ag 0.202 0.798 0.992
Ag 0.798 0.202 0.492
Ag 0.957 0.043 0.675

Results
Volume   278.1 Å³ per cell
DFT total energy   -4.039 eV/atom
DFT formation energy   -0.098 eV/atom
Polymorph energy (0 for the lowest one)   111 meV/atom
Space-group type   Cmc2_1 (36)

***

DFT (GGA-PBE) results for a relaxed structure of EuLu2Tl.

a = 4.905 Å, b = 4.905 Å, c = 4.775 Å
α = 90.00°, β = 90.00°, γ = 90.00°
Fractional positions:
Eu 0.000 0.000 0.000
Lu 0.000 0.500 0.500
Lu 0.500 0.000 0.500
Tl 0.500 0.500 0.000

Results
Volume   114.9 Å³ per cell
DFT total energy   -5.532 eV/atom
DFT formation energy   -0.111 eV/atom
Polymorph energy (0 for the lowest one)   0 meV/atom
Space-group type   P4/mmm (123)